# ScHgPb2

A relaxed ScHgPb2 crystal (PBE, Alexandria).

Structure (POSCAR):
```
ScHgPb2
1.0
3.5299 -4.2523 0.0000
3.5299 4.2523 0.0000
0.0000 0.0000 3.4738
Sc Hg Pb
1 1 2
Cartesian
0.0000 0.0000 0.0000 Sc
3.5299 0.0000 0.0000 Hg
1.7649 2.1262 1.7369 Pb
1.7649 -2.1262 1.7369 Pb
```

Results
Its calculated formation energy is -0.151 eV per atom. For the total energy, the calculation gives -14.7 eV for the cell shown. For the density of states at the Fermi level, the calculation gives 2.152 states/eV/f.u. Its space group is No. 65.